Version P
Entry from Alexandria: crystalline NpTaFe4 at its relaxed geometry (PBE).

a = 4.7559 Å, b = 4.7559 Å, c = 8.2304 Å
α = 90.00°, β = 90.00°, γ = 120.00°
Atoms (fractional coordinates):
Np  0.3333  0.6667  0.0465
Np  0.6667  0.3333  0.9535
Ta  0.3333  0.6667  0.4326
Ta  0.6667  0.3333  0.5674
Fe  0.0000  0.0000  0.0000
Fe  0.0000  0.0000  0.5000
Fe  0.1673  0.3347  0.7351
Fe  0.1673  0.8327  0.7351
Fe  0.3347  0.1673  0.2649
Fe  0.6653  0.8327  0.7351
Fe  0.8327  0.1673  0.2649
Fe  0.8327  0.6653  0.2649

Values from the calculation:
calculated volume: 161.2 Å³/cell
magnetic moment: 10.57 μB/cell

Version Q
Entry from Alexandria: crystalline NpTaFe4 at its relaxed geometry (PBE).

a = 4.9170 Å, b = 4.9170 Å, c = 4.9170 Å
α = 60.00°, β = 60.00°, γ = 60.00°
Atoms (fractional coordinates):
Np  0.0000  0.0000  0.0000
Ta  0.7500  0.7500  0.7500
Fe  0.3756  0.3756  0.3756
Fe  0.3756  0.3756  0.8733
Fe  0.3756  0.8733  0.3756
Fe  0.8733  0.3756  0.3756

Values from the calculation:
calculated volume: 84.1 Å³/cell
magnetic moment: 2.15 μB/cell

Need the numbers? Relative energies in eV/atom: version P 0.000; version Q 0.063.

Version P
Entry from Alexandria: crystalline NpFeTc at its relaxed geometry (PBE).

a = 4.6987 Å, b = 4.6987 Å, c = 2.4225 Å
α = 90.00°, β = 90.00°, γ = 120.00°
Atoms (fractional coordinates):
Np  0.0000  0.0000  0.0000
Fe  0.3333  0.6667  0.5000
Tc  0.6667  0.3333  0.5000

Values from the calculation:
calculated volume: 46.3 Å³/cell
magnetic moment: 1.39 μB/cell

Version Q
Entry from Alexandria: crystalline NpFeTc at its relaxed geometry (PBE).

a = 6.5412 Å, b = 6.5412 Å, c = 6.5412 Å
α = 156.16°, β = 156.16°, γ = 33.96°
Atoms (fractional coordinates):
Np  0.0000  0.0000  0.0000
Fe  0.6722  0.6722  0.0000
Tc  0.2988  0.2988  0.0000

Values from the calculation:
calculated volume: 45.7 Å³/cell
magnetic moment: 2.05 μB/cell

Need the numbers? Relative energies in eV/atom: version P 0.134; version Q 0.000.

Version P
Entry from Alexandria: crystalline TmNpFe4 at its relaxed geometry (PBE).

a = 4.8896 Å, b = 4.8896 Å, c = 8.4913 Å
α = 90.00°, β = 90.00°, γ = 120.00°
Atoms (fractional coordinates):
Tm  0.3333  0.6667  0.4293
Tm  0.6667  0.3333  0.5707
Np  0.3333  0.6667  0.0448
Np  0.6667  0.3333  0.9552
Fe  0.0000  0.0000  0.0000
Fe  0.0000  0.0000  0.5000
Fe  0.1666  0.3331  0.7467
Fe  0.1666  0.8334  0.7467
Fe  0.3331  0.1666  0.2533
Fe  0.6669  0.8334  0.7467
Fe  0.8334  0.1666  0.2533
Fe  0.8334  0.6669  0.2533

Values from the calculation:
calculated volume: 175.8 Å³/cell
magnetic moment: 13.39 μB/cell

Version Q
Entry from Alexandria: crystalline TmNpFe4 at its relaxed geometry (PBE).

a = 5.0082 Å, b = 5.0082 Å, c = 5.0082 Å
α = 60.00°, β = 60.00°, γ = 60.00°
Atoms (fractional coordinates):
Tm  0.0000  0.0000  0.0000
Np  0.2500  0.2500  0.2500
Fe  0.1268  0.6244  0.6244
Fe  0.6244  0.1268  0.6244
Fe  0.6244  0.6244  0.1268
Fe  0.6244  0.6244  0.6244

Values from the calculation:
calculated volume: 88.8 Å³/cell
magnetic moment: 7.96 μB/cell

Need the numbers? Relative energies in eV/atom: version P 0.000; version Q 0.088.

Version P
Entry from Alexandria: crystalline NpVFe at its relaxed geometry (PBE).

a = 5.9229 Å, b = 5.9229 Å, c = 5.9229 Å
α = 152.97°, β = 152.97°, γ = 38.60°
Atoms (fractional coordinates):
Np  0.0000  0.0000  0.0000
V  0.6920  0.6920  0.0000
Fe  0.3193  0.3193  0.0000

Values from the calculation:
calculated volume: 42.8 Å³/cell
magnetic moment: 0.01 μB/cell

Version Q
Entry from Alexandria: crystalline NpVFe at its relaxed geometry (PBE).

a = 2.6729 Å, b = 5.1904 Å, c = 6.3059 Å
α = 100.50°, β = 99.21°, γ = 94.04°
Atoms (fractional coordinates):
Np  0.0596  0.4410  0.1826
Np  0.9404  0.5590  0.8174
V  0.1890  0.0279  0.8106
V  0.8110  0.9721  0.1894
Fe  0.4718  0.7546  0.4710
Fe  0.5282  0.2454  0.5290

Values from the calculation:
calculated volume: 84.5 Å³/cell
magnetic moment: 0.00 μB/cell

Need the numbers? Relative energies in eV/atom: version P 0.063; version Q 0.000.

Version P
Entry from Alexandria: crystalline ZrNpFe4 at its relaxed geometry (PBE).

a = 4.8458 Å, b = 4.8458 Å, c = 8.3904 Å
α = 90.00°, β = 90.00°, γ = 120.00°
Atoms (fractional coordinates):
Zr  0.3333  0.6667  0.4288
Zr  0.6667  0.3333  0.5712
Np  0.3333  0.6667  0.0411
Np  0.6667  0.3333  0.9589
Fe  0.0000  0.0000  0.0000
Fe  0.0000  0.0000  0.5000
Fe  0.1667  0.3334  0.7409
Fe  0.1667  0.8333  0.7409
Fe  0.3334  0.1667  0.2591
Fe  0.6666  0.8333  0.7409
Fe  0.8333  0.1667  0.2591
Fe  0.8333  0.6666  0.2591

Values from the calculation:
calculated volume: 170.6 Å³/cell
magnetic moment: 13.38 μB/cell

Version Q
Entry from Alexandria: crystalline ZrNpFe4 at its relaxed geometry (PBE).

a = 4.9969 Å, b = 4.9969 Å, c = 4.9969 Å
α = 60.00°, β = 60.00°, γ = 60.00°
Atoms (fractional coordinates):
Zr  0.0000  0.0000  0.0000
Np  0.2500  0.2500  0.2500
Fe  0.1246  0.6251  0.6251
Fe  0.6251  0.1246  0.6251
Fe  0.6251  0.6251  0.1246
Fe  0.6251  0.6251  0.6251

Values from the calculation:
calculated volume: 88.2 Å³/cell
magnetic moment: 2.59 μB/cell

Need the numbers? Relative energies in eV/atom: version P 0.010; version Q 0.000.

Version P
Entry from Alexandria: crystalline Zr2NpFe at its relaxed geometry (PBE).

a = 5.0714 Å, b = 5.0714 Å, c = 3.0277 Å
α = 90.00°, β = 90.00°, γ = 90.00°
Atoms (fractional coordinates):
Zr  0.0000  0.5000  0.0000
Zr  0.5000  0.0000  0.0000
Np  0.0000  0.0000  0.5000
Fe  0.5000  0.5000  0.5000

Values from the calculation:
calculated volume: 77.9 Å³/cell
magnetic moment: 5.34 μB/cell

Version Q
Entry from Alexandria: crystalline Zr2NpFe at its relaxed geometry (PBE).

a = 3.1609 Å, b = 3.1609 Å, c = 7.8220 Å
α = 90.00°, β = 90.00°, γ = 90.00°
Atoms (fractional coordinates):
Zr  0.0000  0.0000  0.2042
Zr  0.0000  0.0000  0.7958
Np  0.5000  0.5000  0.5000
Fe  0.5000  0.5000  0.0000

Values from the calculation:
calculated volume: 78.2 Å³/cell
magnetic moment: 4.34 μB/cell

Need the numbers? Relative energies in eV/atom: version P 0.188; version Q 0.000.